Compound: Ac2BiPt2
Source: OQMD
Functional: PBE
Structure: relaxed

The value obtained for the spin magnetization is 0.005 μB/cell. The calculated total energy is -0.2178 Ha/atom.

```
Ac2BiPt2
1.0
8.257 0.000 0.000
0.000 8.257 0.000
0.000 0.000 4.089
Ac Bi Pt
4 2 4
Direct
0.175 0.325 0.000
0.325 0.825 0.000
0.675 0.175 0.000
0.825 0.675 0.000
0.000 0.000 0.500
0.500 0.500 0.500
0.123 0.623 0.500
0.377 0.123 0.500
0.623 0.877 0.500
0.877 0.377 0.500
```